Record 1
Pm5PrNd5 after structural relaxation, computed with PBE.

* space-group type: P-6m2
* N(E_F): 19.088 states/eV/cell
* calculated total energy: -49.21 eV/cell
* energy relative to the elements: 287.1 meV/atom
* relative energy among the computed polymorphs: 151.8 meV/atom
* magnetic moment: 0.00 μB per formula unit

Unit cell a=6.275 b=6.275 c=11.663 alpha=90.00 beta=90.00 gamma=120.00
Element x y z (fractional)
Pm: 0.667 0.333 0.161
Pm: 0.667 0.333 0.839
Pm: 0.333 0.667 0.327
Pm: 0.333 0.667 0.673
Pm: 0.000 0.000 0.000
Pr: 0.333 0.667 0.000
Nd: 0.340 0.170 0.500
Nd: 0.000 0.000 0.265
Nd: 0.830 0.660 0.500
Nd: 0.830 0.170 0.500
Nd: 0.000 0.000 0.735

=====

Record 2
NaHgBi2 after structural relaxation, computed with PBE.

* space-group type: P4/mmm
* N(E_F): 2.026 states/eV/cell
* calculated total energy: -9.89 eV/cell
* energy relative to the elements: -128.0 meV/atom
* magnetic moment: 0.00 μB per formula unit

Unit cell a=5.032 b=4.774 c=4.774 alpha=90.00 beta=90.00 gamma=90.00
Element x y z (fractional)
Na: 0.500 0.000 0.000
Bi: 0.000 0.000 0.500
Bi: 0.000 0.500 0.000
Hg: 0.500 0.500 0.500

=====

Record 3
BePbI2O after structural relaxation, computed with PBE.

* space-group type: P4/mmm
* N(E_F): 2.125 states/eV/cell
* calculated total energy: -13.55 eV/cell
* uncorrected formation energy: 0.389 eV/atom
* relative energy among the computed polymorphs: 1111.7 meV/atom
* magnetic moment: 0.68 μB per formula unit

Unit cell a=6.175 b=6.175 c=4.239 alpha=90.00 beta=90.00 gamma=90.00
Element x y z (fractional)
Pb: 0.000 0.000 0.000
I: 0.000 0.500 0.000
I: 0.500 0.000 0.000
O: 0.000 0.000 0.500
Be: 0.500 0.500 0.500

=====

Record 4
RbBa2TlPb after structural relaxation, computed with PBE.

* space-group type: P4/mmm
* N(E_F): 5.741 states/eV/cell
* calculated total energy: -8.03 eV/cell
* energy relative to the elements: 571.7 meV/atom
* magnetic moment: 0.00 μB per formula unit

Unit cell a=6.715 b=6.120 c=6.715 alpha=90.00 beta=90.00 gamma=90.00
Element x y z (fractional)
Pb: 0.000 0.500 0.000
Tl: 0.500 0.500 0.500
Ba: 0.000 0.000 0.500
Ba: 0.500 0.000 0.000
Rb: 0.000 0.000 0.000

=====

Record 5
DyErAlAu after structural relaxation, computed with PBE.

* space-group type: P4mm
* N(E_F): 1.733 states/eV/cell
* calculated total energy: -18.69 eV/cell
* energy relative to the elements: -625.1 meV/atom
* relative energy among the computed polymorphs: 0.0 meV/atom
* magnetic moment: 0.00 μB per formula unit

Unit cell a=3.542 b=3.542 c=7.416 alpha=90.00 beta=90.00 gamma=90.00
Element x y z (fractional)
Dy: 0.000 0.000 0.362
Er: 0.000 0.000 0.848
Al: 0.500 0.500 0.103
Au: 0.500 0.500 0.614

=====

Record 6
SrZr2TaH after structural relaxation, computed with PBE.

* space-group type: P4/mmm
* N(E_F): 4.796 states/eV/cell
* calculated total energy: -29.69 eV/cell
* magnetic moment: 0.00 μB per formula unit

Unit cell a=5.675 b=3.554 c=5.675 alpha=90.00 beta=90.00 gamma=90.00
Element x y z (fractional)
Sr: 0.500 0.500 0.500
H: 0.000 0.500 0.000
Zr: 0.000 0.000 0.500
Zr: 0.500 0.000 0.000
Ta: 0.000 0.000 0.000

=====

Record 7
TmNpPaO6 after structural relaxation, computed with PBE.

* space-group type: P-31c
* N(E_F): 22.536 states/eV/cell
* calculated total energy: -173.02 eV/cell
* uncorrected formation energy: -3.317 eV/atom
* magnetic moment: 3.00 μB per formula unit

Unit cell a=5.707 b=5.707 c=9.517 alpha=90.00 beta=90.00 gamma=120.00
Element x y z (fractional)
Tm: 0.333 0.667 0.250
Tm: 0.667 0.333 0.750
Np: 0.667 0.333 0.250
Np: 0.333 0.667 0.750
Pa: 0.000 0.000 0.000
Pa: 0.000 0.000 0.500
O: 0.676 0.673 0.129
O: 0.997 0.324 0.129
O: 0.324 0.997 0.629
O: 0.003 0.676 0.871
O: 0.327 0.324 0.371
O: 0.997 0.673 0.371
O: 0.673 0.997 0.871
O: 0.676 0.003 0.371
O: 0.003 0.327 0.629
O: 0.327 0.003 0.129
O: 0.673 0.676 0.629
O: 0.324 0.327 0.871

=====

Record 8
CoTe2MoN after structural relaxation, computed with PBE.

* space-group type: P4/mmm
* N(E_F): 6.193 states/eV/cell
* calculated total energy: -29.03 eV/cell
* uncorrected formation energy: 0.704 eV/atom
* relative energy among the computed polymorphs: 91.7 meV/atom
* magnetic moment: 1.92 μB per formula unit

Unit cell a=5.411 b=5.411 c=3.776 alpha=90.00 beta=90.00 gamma=90.00
Element x y z (fractional)
Mo: 0.000 0.000 0.000
Te: 0.000 0.500 0.000
Te: 0.500 0.000 0.000
Co: 0.500 0.500 0.500
N: 0.000 0.000 0.500

=====

Record 9
YTaMo2 after structural relaxation, computed with PBE.

* space-group type: P2/m
* N(E_F): 3.902 states/eV/cell
* calculated total energy: -38.73 eV/cell
* energy relative to the elements: 313.2 meV/atom
* relative energy among the computed polymorphs: 111.5 meV/atom
* magnetic moment: 0.00 μB per formula unit

Unit cell a=4.434 b=2.962 c=5.986 alpha=80.49 beta=90.00 gamma=90.00
Element x y z (fractional)
Mo: 0.000 0.998 0.041
Mo: 0.000 0.502 0.459
Ta: 0.500 0.250 0.250
Y: 0.500 0.750 0.750

=====

Record 10
PmHo4Sc6 after structural relaxation, computed with PBE.

* space-group type: P-6m2
* N(E_F): 14.708 states/eV/cell
* calculated total energy: -57.55 eV/cell
* energy relative to the elements: 318.2 meV/atom
* magnetic moment: 0.00 μB per formula unit

Unit cell a=5.088 b=8.530 c=8.530 alpha=120.00 beta=90.00 gamma=90.00
Element x y z (fractional)
Pm: 0.000 0.000 0.000
Ho: 0.500 0.803 0.607
Ho: 0.500 0.393 0.197
Ho: 0.500 0.803 0.197
Ho: 0.000 0.333 0.667
Sc: 0.000 0.539 0.077
Sc: 0.500 0.571 0.785
Sc: 0.000 0.539 0.461
Sc: 0.000 0.923 0.461
Sc: 0.500 0.215 0.785
Sc: 0.500 0.215 0.429

=====

Record 11
Pr2HoPa2Rh5 after structural relaxation, computed with PBE.

* space-group type: P4/mbm
* N(E_F): 20.465 states/eV/cell
* calculated total energy: -152.68 eV/cell
* energy relative to the elements: -645.3 meV/atom
* magnetic moment: 0.00 μB per formula unit

Unit cell a=3.599 b=11.027 c=11.027 alpha=90.00 beta=90.00 gamma=90.00
Element x y z (fractional)
Pr: 0.000 0.671 0.171
Pr: 0.000 0.329 0.829
Pr: 0.000 0.171 0.329
Pr: 0.000 0.829 0.671
Ho: 0.000 0.000 0.000
Ho: 0.000 0.500 0.500
Pa: 0.000 0.137 0.637
Pa: 0.000 0.863 0.363
Pa: 0.000 0.637 0.863
Pa: 0.000 0.363 0.137
Rh: 0.500 0.201 0.056
Rh: 0.500 0.799 0.944
Rh: 0.500 0.056 0.799
Rh: 0.500 0.701 0.444
Rh: 0.500 0.944 0.201
Rh: 0.500 0.299 0.556
Rh: 0.500 0.556 0.701
Rh: 0.500 0.444 0.299
Rh: 0.500 0.500 0.000
Rh: 0.500 0.000 0.500

=====

Record 12
SmHo4Sc6 after structural relaxation, computed with PBE.

* space-group type: P-6m2
* N(E_F): 14.858 states/eV/cell
* calculated total energy: -57.46 eV/cell
* energy relative to the elements: 323.6 meV/atom
* magnetic moment: 0.00 μB per formula unit

Unit cell a=5.083 b=8.525 c=8.525 alpha=120.00 beta=90.00 gamma=90.00
Element x y z (fractional)
Sm: 0.000 0.000 0.000
Ho: 0.500 0.803 0.607
Ho: 0.500 0.393 0.197
Ho: 0.500 0.803 0.197
Ho: 0.000 0.333 0.667
Sc: 0.000 0.539 0.077
Sc: 0.500 0.571 0.785
Sc: 0.000 0.539 0.461
Sc: 0.000 0.923 0.461
Sc: 0.500 0.215 0.785
Sc: 0.500 0.215 0.429